# 1
A relaxed CuBiTe3 crystal. Source: Alexandria via LeMat-Bulk, functional PBE-GGA.

a = 5.8744 Å, b = 5.8744 Å, c = 5.8744 Å
α = 90.00°, β = 90.00°, γ = 90.00°
With the nearest neighbours (Å) after each atom.
Positions (direct):
Cu  0.0000  0.0000  0.0000  12 Te 4.15
Bi  0.5000  0.5000  0.5000  6 Te 2.94
Te  0.0000  0.5000  0.5000  2 Bi 2.94
Te  0.5000  0.0000  0.5000  2 Bi 2.94
Te  0.5000  0.5000  0.0000  2 Bi 2.94

Output
Energy above the most stable polymorph in this dataset   967 meV/atom
Energy relative to the elements, uncorrected   0.927 eV per atom
VASP energy   -2.5533 eV per atom
M_tot   0.000 μB/f.u.


# 2
A relaxed CuBiTe3 crystal. Source: Alexandria via LeMat-Bulk, functional PBE-GGA.

a = 5.1554 Å, b = 5.1554 Å, c = 5.1554 Å
α = 90.00°, β = 90.00°, γ = 90.00°
With the nearest neighbours (Å) after each atom.
Positions (direct):
Cu  0.0000  0.0000  0.0000  6 Te 2.58
Bi  0.5000  0.5000  0.5000  12 Te 3.65
Te  0.0000  0.0000  0.5000  2 Cu 2.58
Te  0.0000  0.5000  0.0000  2 Cu 2.58
Te  0.5000  0.0000  0.0000  2 Cu 2.58

Output
Energy above the most stable polymorph in this dataset   303 meV/atom
Energy relative to the elements, uncorrected   0.264 eV per atom
VASP energy   -3.2166 eV per atom
M_tot   0.000 μB/f.u.


# 3
A relaxed Tl2CuBiTe4 crystal. Source: Alexandria via LeMat-Bulk, functional PBE-GGA.

a = 8.7198 Å, b = 8.7198 Å, c = 6.6957 Å
α = 90.00°, β = 90.00°, γ = 90.00°
With the nearest neighbours (Å) after each atom.
Positions (direct):
Tl  0.0000  0.5000  0.0000  2 Tl 3.35, 8 Te 3.47-3.75
Tl  0.0000  0.5000  0.5000  2 Tl 3.35, 8 Te 3.47-3.75
Tl  0.5000  0.0000  0.0000  2 Tl 3.35, 8 Te 3.47-3.75
Tl  0.5000  0.0000  0.5000  2 Tl 3.35, 8 Te 3.47-3.75
Cu  0.0000  0.0000  0.0000  4 Te 2.66
Cu  0.5000  0.5000  0.5000  4 Te 2.66
Bi  0.0000  0.0000  0.5000  4 Te 3.00, 2 Cu 3.35
Bi  0.5000  0.5000  0.0000  4 Te 3.00, 2 Cu 3.35
Te  0.1840  0.1840  0.2060  1 Cu 2.66
Te  0.1840  0.8160  0.7940  1 Cu 2.66
Te  0.3160  0.3160  0.7060  1 Cu 2.66
Te  0.3160  0.6840  0.2940  1 Cu 2.66
Te  0.6840  0.3160  0.2940  1 Cu 2.66
Te  0.6840  0.6840  0.7060  1 Cu 2.66
Te  0.8160  0.1840  0.7940  1 Cu 2.66
Te  0.8160  0.8160  0.2060  1 Cu 2.66

Output
Energy relative to the elements, uncorrected   -0.092 eV per atom
VASP energy   -3.2519 eV per atom
M_tot   0.000 μB/f.u.


# 4
A relaxed Tl3CuBi2Te6 crystal. Source: Alexandria via LeMat-Bulk, functional PBE-GGA.

a = 7.6812 Å, b = 7.6812 Å, c = 8.1145 Å
α = 99.60°, β = 99.60°, γ = 119.72°
With the nearest neighbours (Å) after each atom.
Positions (direct):
Tl  0.0000  0.0000  0.0000  6 Te 3.30-3.39
Tl  0.3120  0.6880  0.0000  6 Te 3.37-3.44
Tl  0.6880  0.3120  0.0000  6 Te 3.37-3.44
Cu  0.5000  0.5000  0.5000  6 Te 2.75-3.07
Bi  0.1607  0.8393  0.5000  6 Te 3.14-3.19
Bi  0.8393  0.1607  0.5000  6 Te 3.14-3.19
Te  0.1369  0.4325  0.2945  1 Cu 2.75
Te  0.2637  0.2637  0.7394  1 Cu 3.07, 2 Bi 3.14, 3 Tl 3.39
Te  0.4325  0.1369  0.2945  1 Cu 2.75
Te  0.5675  0.8631  0.7055  1 Cu 2.75
Te  0.7363  0.7363  0.2606  1 Cu 3.07, 2 Bi 3.14, 3 Tl 3.39
Te  0.8631  0.5675  0.7055  1 Cu 2.75

Output
Energy relative to the elements, uncorrected   -0.183 eV per atom
VASP energy   -3.3337 eV per atom
M_tot   0.000 μB/f.u.


# 5
A relaxed Tl2Cu2BiTe4 crystal. Source: Alexandria via LeMat-Bulk, functional PBE-GGA.

a = 8.4684 Å, b = 8.4684 Å, c = 8.4713 Å
α = 111.65°, β = 111.65°, γ = 28.94°
With the nearest neighbours (Å) after each atom.
Positions (direct):
Tl  0.1260  0.1260  0.0413  7 Te 3.51-3.65, 1 Cu 3.82, 1 Tl 3.92
Tl  0.8740  0.8740  0.9587  7 Te 3.51-3.65, 1 Cu 3.82, 1 Tl 3.92
Cu  0.2987  0.2987  0.4972  4 Te 2.65-2.75, 2 Cu 2.66
Cu  0.7013  0.7013  0.5028  4 Te 2.65-2.75, 2 Cu 2.66
Bi  0.0000  0.0000  0.5000  6 Te 3.12-3.16
Te  0.2068  0.2068  0.6951  3 Cu 2.65
Te  0.4674  0.4674  0.7408  1 Cu 2.75
Te  0.5326  0.5326  0.2592  1 Cu 2.75
Te  0.7932  0.7932  0.3049  3 Cu 2.65

Output
Energy relative to the elements, uncorrected   -0.193 eV per atom
VASP energy   -3.4563 eV per atom
M_tot   0.000 μB/f.u.


# 6
A relaxed ThCuBi crystal. Source: Alexandria via LeMat-Bulk, functional PBE-GGA.

a = 8.1916 Å, b = 6.6697 Å, c = 6.5515 Å
α = 90.00°, β = 96.23°, γ = 90.00°
With the nearest neighbours (Å) after each atom.
Positions (direct):
Th  0.1935  0.0029  0.2077  4 Cu 2.88-2.89
Th  0.1935  0.4971  0.7077  4 Cu 2.88-2.89
Th  0.8065  0.5029  0.2923  4 Cu 2.88-2.89
Th  0.8065  0.9971  0.7923  4 Cu 2.88-2.89
Cu  0.0027  0.6859  0.0012  1 Cu 2.48
Cu  0.0027  0.8141  0.5012  1 Cu 2.48
Cu  0.9973  0.1859  0.4988  1 Cu 2.48
Cu  0.9973  0.3141  0.9988  1 Cu 2.48
Bi  0.4988  0.7495  0.5001  4 Bi 3.28-3.34, 4 Th 3.41-3.43
Bi  0.4988  0.7505  0.0001  4 Bi 3.28-3.34, 4 Th 3.41-3.43
Bi  0.5012  0.2495  0.9999  4 Bi 3.28-3.34, 4 Th 3.41-3.43
Bi  0.5012  0.2505  0.4999  4 Bi 3.28-3.34, 4 Th 3.41-3.43

Output
ΔE_f   0.019 eV per atom
VASP energy   -5.1135 eV per atom
M_tot   0.000 μB/f.u.


# 7
A relaxed Th2Cu2Bi crystal. Source: Alexandria via LeMat-Bulk, functional PBE-GGA.

a = 4.2185 Å, b = 6.2138 Å, c = 9.0763 Å
α = 90.00°, β = 90.00°, γ = 90.00°
With the nearest neighbours (Å) after each atom.
Positions (direct):
Th  0.0000  0.0000  0.2110  6 Cu 3.10-3.23, 2 Bi 3.37
Th  0.0000  0.0000  0.7890  6 Cu 3.10-3.23, 2 Bi 3.37
Th  0.5000  0.5000  0.2890  6 Cu 3.10-3.23, 2 Bi 3.37
Th  0.5000  0.5000  0.7110  6 Cu 3.10-3.23, 2 Bi 3.37
Cu  0.0000  0.3026  0.5000  1 Cu 2.45
Cu  0.0000  0.6974  0.5000  1 Cu 2.45
Cu  0.5000  0.1974  0.0000  1 Cu 2.45
Cu  0.5000  0.8026  0.0000  1 Cu 2.45
Bi  0.0000  0.5000  0.0000  4 Cu 2.83
Bi  0.5000  0.0000  0.5000  4 Cu 2.83

Output
ΔE_f   -0.251 eV per atom
VASP energy   -5.6331 eV per atom
M_tot   0.004 μB/f.u.


# 8
A relaxed Th4CuBi crystal. Source: Alexandria via LeMat-Bulk, functional PBE-GGA.

a = 8.3495 Å, b = 8.3495 Å, c = 8.3495 Å
α = 126.86°, β = 126.86°, γ = 78.48°
With the nearest neighbours (Å) after each atom.
Positions (direct):
Th  0.0148  0.5148  0.8136  2 Cu 3.15, 2 Th 3.31-3.42, 2 Bi 3.36
Th  0.2012  0.0148  0.5000  2 Cu 3.15, 2 Th 3.31-3.42, 2 Bi 3.36
Th  0.2988  0.7988  0.8136  2 Cu 3.15, 2 Th 3.31-3.42, 2 Bi 3.36
Th  0.4852  0.2988  0.5000  2 Cu 3.15, 2 Th 3.31-3.42, 2 Bi 3.36
Th  0.5148  0.7012  0.5000  2 Cu 3.15, 2 Th 3.31-3.42, 2 Bi 3.36
Th  0.7012  0.2012  0.1864  2 Cu 3.15, 2 Th 3.31-3.42, 2 Bi 3.36
Th  0.7988  0.9852  0.5000  2 Cu 3.15, 2 Th 3.31-3.42, 2 Bi 3.36
Th  0.9852  0.4852  0.1864  2 Cu 3.15, 2 Th 3.31-3.42, 2 Bi 3.36
Cu  0.2500  0.2500  0.0000  8 Th 3.15, 2 Bi 3.23
Cu  0.7500  0.7500  0.0000  8 Th 3.15, 2 Bi 3.23
Bi  0.0000  0.0000  0.0000  2 Cu 3.23, 8 Th 3.36
Bi  0.5000  0.5000  0.0000  2 Cu 3.23, 8 Th 3.36

Output
ΔE_f   -0.108 eV per atom
Energy above the most stable polymorph in this dataset   63 meV/atom
VASP energy   -6.3844 eV per atom
M_tot   0.000 μB/f.u.


# 9
A relaxed ThCu4Bi crystal. Source: Alexandria via LeMat-Bulk, functional PBE-GGA.

a = 5.3619 Å, b = 5.3619 Å, c = 5.3619 Å
α = 60.00°, β = 60.00°, γ = 60.00°
With the nearest neighbours (Å) after each atom.
Positions (direct):
Th  0.0000  0.0000  0.0000  12 Cu 3.14, 4 Bi 3.28
Cu  0.1215  0.6262  0.6262  6 Cu 2.66-2.71
Cu  0.6262  0.1215  0.6262  6 Cu 2.66-2.71
Cu  0.6262  0.6262  0.1215  6 Cu 2.66-2.71
Cu  0.6262  0.6262  0.6262  6 Cu 2.66-2.71
Bi  0.2500  0.2500  0.2500  12 Cu 3.15, 4 Th 3.28

Output
ΔE_f   -0.019 eV per atom
VASP energy   -4.6336 eV per atom
M_tot   0.000 μB/f.u.


# 10
A relaxed Th4CuBi crystal. Source: Alexandria via LeMat-Bulk, functional PBE-GGA.

a = 7.5600 Å, b = 7.5600 Å, c = 6.1932 Å
α = 90.00°, β = 90.00°, γ = 90.00°
With the nearest neighbours (Å) after each atom.
Positions (direct):
Th  0.1421  0.3274  0.0000  2 Cu 3.11, 2 Bi 3.38, 1 Th 3.38
Th  0.1421  0.6726  0.5000  2 Cu 3.11, 2 Bi 3.38, 1 Th 3.38
Th  0.3274  0.1421  0.5000  2 Cu 3.11, 2 Bi 3.38, 1 Th 3.38
Th  0.3274  0.8579  0.0000  2 Cu 3.11, 2 Bi 3.38, 1 Th 3.38
Th  0.6726  0.1421  0.0000  2 Cu 3.11, 2 Bi 3.38, 1 Th 3.38
Th  0.6726  0.8579  0.5000  2 Cu 3.11, 2 Bi 3.38, 1 Th 3.38
Th  0.8579  0.3274  0.5000  2 Cu 3.11, 2 Bi 3.38, 1 Th 3.38
Th  0.8579  0.6726  0.0000  2 Cu 3.11, 2 Bi 3.38, 1 Th 3.38
Cu  0.0000  0.0000  0.2500  2 Cu 3.10, 8 Th 3.11
Cu  0.0000  0.0000  0.7500  2 Cu 3.10, 8 Th 3.11
Bi  0.5000  0.5000  0.2500  2 Bi 3.10, 8 Th 3.38
Bi  0.5000  0.5000  0.7500  2 Bi 3.10, 8 Th 3.38

Output
ΔE_f   -0.172 eV per atom
Energy above the most stable polymorph in this dataset   0 meV/atom
VASP energy   -6.4478 eV per atom
M_tot   0.000 μB/f.u.


# 11
A relaxed Th4CuBi2 crystal. Source: Alexandria via LeMat-Bulk, functional PBE-GGA.

a = 16.2412 Å, b = 4.2331 Å, c = 7.3514 Å
α = 90.00°, β = 116.24°, γ = 90.00°
With the nearest neighbours (Å) after each atom.
Positions (direct):
Th  0.1020  0.0000  0.2559  1 Cu 2.93, 3 Bi 3.27
Th  0.1018  0.5000  0.7891  2 Cu 2.94, 3 Bi 3.26-3.27
Th  0.3982  0.0000  0.2109  2 Cu 2.94, 3 Bi 3.26-3.27
Th  0.3980  0.5000  0.7441  1 Cu 2.93, 3 Bi 3.27
Th  0.6018  0.0000  0.7891  2 Cu 2.94, 3 Bi 3.26-3.27
Th  0.6020  0.5000  0.2559  1 Cu 2.93, 3 Bi 3.27
Th  0.8980  0.0000  0.7441  1 Cu 2.93, 3 Bi 3.27
Th  0.8982  0.5000  0.2109  2 Cu 2.94, 3 Bi 3.26-3.27
Cu  0.0000  0.0000  0.5000  6 Th 2.93-2.94
Cu  0.5000  0.5000  0.5000  6 Th 2.93-2.94
Bi  0.2436  0.0000  0.7385  6 Th 3.26-3.27, 1 Cu 3.55
Bi  0.2564  0.5000  0.2615  6 Th 3.26-3.27, 1 Cu 3.55
Bi  0.7436  0.5000  0.7385  6 Th 3.26-3.27, 1 Cu 3.55
Bi  0.7564  0.0000  0.2615  6 Th 3.26-3.27, 1 Cu 3.55

Output
ΔE_f   -0.145 eV per atom
VASP energy   -6.0787 eV per atom
M_tot   0.000 μB/f.u.


# 12
A relaxed Th4Cu2Bi crystal. Source: Alexandria via LeMat-Bulk, functional PBE-GGA.

a = 12.5769 Å, b = 12.5769 Å, c = 12.5769 Å
α = 19.96°, β = 19.96°, γ = 19.96°
With the nearest neighbours (Å) after each atom.
Positions (direct):
Th  0.1099  0.1099  0.1099  3 Cu 2.98, 3 Bi 3.28
Th  0.3026  0.3026  0.3026  3 Cu 2.85
Th  0.6974  0.6974  0.6974  3 Cu 2.85
Th  0.8901  0.8901  0.8901  3 Cu 2.98, 3 Bi 3.28
Cu  0.4002  0.4002  0.4002  6 Th 2.85-2.98
Cu  0.5998  0.5998  0.5998  6 Th 2.85-2.98
Bi  0.5000  0.5000  0.5000  6 Th 3.28

Output
ΔE_f   -0.012 eV per atom
VASP energy   -5.9762 eV per atom
M_tot   0.000 μB/f.u.